1.
The following is a PBE calculation of a relaxed PmPPb2O8 crystal, from the Alexandria database.

Its energy relative to the elements, uncorrected is -32.5 kcal/mol of atoms. The calculation puts the density of states at the Fermi level at 0.05 states/eV per atom. The total magnetization is 0.00 μB per atom. The theoretical density is 7.955 Mg/m³.

Lattice parameters (Å, degrees): 5.269 5.269 6.238 90.00 90.00 120.00
Atoms (fractional coordinates):
Pm1 0.000 0.000 0.000
P1 0.000 0.000 0.500
Pb1 0.333 0.667 0.391
Pb2 0.667 0.333 0.609
O1 0.153 0.307 0.659
O2 0.153 0.847 0.659
O3 0.307 0.153 0.341
O4 0.333 0.667 0.069
O5 0.667 0.333 0.931
O6 0.693 0.847 0.659
O7 0.847 0.153 0.341
O8 0.847 0.693 0.341

2.
The following is a PBE calculation of a relaxed Pr3PPbO crystal, from the Alexandria database.

Its energy relative to the elements, uncorrected is -37.0 kcal/mol of atoms. The calculation puts the density of states at the Fermi level at 0.42 states/eV per atom. The total magnetization is 0.00 μB per atom. The theoretical density is 6.426 Mg/m³.

Lattice parameters (Å, degrees): 9.144 4.193 9.395 90.00 103.81 90.00
Atoms (fractional coordinates):
Pr1 0.065 0.250 0.340
Pr2 0.332 0.250 0.976
Pr3 0.384 0.750 0.648
Pr4 0.616 0.250 0.352
Pr5 0.668 0.750 0.024
Pr6 0.935 0.750 0.660
P1 0.158 0.250 0.657
P2 0.842 0.750 0.343
Pb1 0.316 0.750 0.272
Pb2 0.684 0.250 0.728
O1 0.412 0.750 0.906
O2 0.588 0.250 0.094

- The highest energy relative to the elements, uncorrected belongs to which entry?
  PmPPb2O8

- Which of these has the lowest theoretical density?
  Pr3PPbO